Ga2HgSe4: optimized geometry, PBE.

Raw formation energy, eV per formula unit: -3.56
Relative energy among the computed polymorphs, eV per atom: 0.000
Volume, Å³/cell: 379.0

CIF file:
```
data_Ga2HgSe4
_chemical_formula_sum 'Ga4 Hg2 Se8'
_symmetry_space_group_name_H-M 'I -4'
_symmetry_Int_Tables_number 82
_symmetry_space_group_name_Hall 'I -4'
_cell_length_a 5.8683
_cell_length_b 5.8683
_cell_length_c 11.0043
_cell_angle_alpha 90.00
_cell_angle_beta 90.00
_cell_angle_gamma 90.00
loop_
_atom_site_label
_atom_site_type_symbol
_atom_site_fract_x
_atom_site_fract_y
_atom_site_fract_z
Ga1 Ga 0.0000 0.0000 0.0000
Ga2 Ga 0.0000 0.5000 0.2500
Hg1 Hg 0.0000 0.0000 0.5000
Se1 Se 0.2245 0.2379 0.8607
```

---

Ga12Hg3Se5: optimized geometry, PBE.

Raw formation energy, eV per formula unit: -0.79
Volume, Å³/cell: 4237.1

CIF file:
```
data_Ga12Hg3Se5
_chemical_formula_sum 'Ga96 Hg24 Se40'
_symmetry_space_group_name_H-M 'I a -3 d'
_symmetry_Int_Tables_number 230
_symmetry_space_group_name_Hall '-I 4bd 2c 3'
_cell_length_a 16.1816
_cell_length_b 16.1816
_cell_length_c 16.1816
_cell_angle_alpha 90.00
_cell_angle_beta 90.00
_cell_angle_gamma 90.00
loop_
_atom_site_label
_atom_site_type_symbol
_atom_site_fract_x
_atom_site_fract_y
_atom_site_fract_z
Ga1 Ga 0.0111 0.0723 0.6571
Hg1 Hg 0.0000 0.2500 0.1250
Se1 Se 0.0000 0.0000 0.0000
Se2 Se 0.0000 0.2500 0.3750
```

---

Ga2HgSe: optimized geometry, PBE.

Raw formation energy, eV per formula unit: -0.42
Relative energy among the computed polymorphs, eV per atom: 0.076
Volume, Å³/cell: 457.4

CIF file:
```
data_Ga2HgSe
_chemical_formula_sum 'Ga8 Hg4 Se4'
_symmetry_space_group_name_H-M 'I -4 2 d'
_symmetry_Int_Tables_number 122
_symmetry_space_group_name_Hall 'I -4 2bw'
_cell_length_a 6.4671
_cell_length_b 6.4671
_cell_length_c 10.9368
_cell_angle_alpha 90.00
_cell_angle_beta 90.00
_cell_angle_gamma 90.00
loop_
_atom_site_label
_atom_site_type_symbol
_atom_site_fract_x
_atom_site_fract_y
_atom_site_fract_z
Ga1 Ga 0.2422 0.2500 0.1250
Hg1 Hg 0.0000 0.0000 0.5000
Se1 Se 0.0000 0.0000 0.0000
```

---

Ga2HgSe: optimized geometry, PBE.

Raw formation energy, eV per formula unit: -0.08
Relative energy among the computed polymorphs, eV per atom: 0.161
Volume, Å³/cell: 378.4

CIF file:
```
data_Ga2HgSe
_chemical_formula_sum 'Ga8 Hg4 Se4'
_symmetry_space_group_name_H-M 'F m -3 m'
_symmetry_Int_Tables_number 225
_symmetry_space_group_name_Hall '-F 4 2 3'
_cell_length_a 7.2330
_cell_length_b 7.2330
_cell_length_c 7.2330
_cell_angle_alpha 90.00
_cell_angle_beta 90.00
_cell_angle_gamma 90.00
loop_
_atom_site_label
_atom_site_type_symbol
_atom_site_fract_x
_atom_site_fract_y
_atom_site_fract_z
Ga1 Ga 0.2500 0.2500 0.2500
Hg1 Hg 0.0000 0.0000 0.0000
Se1 Se 0.0000 0.0000 0.5000
```

---

Ga2HgSe4: optimized geometry, PBE.

Raw formation energy, eV per formula unit: -3.44
Relative energy among the computed polymorphs, eV per atom: 0.018
Volume, Å³/cell: 189.6

CIF file:
```
data_Ga2HgSe4
_chemical_formula_sum 'Ga2 Hg1 Se4'
_symmetry_space_group_name_H-M 'P -4 2 m'
_symmetry_Int_Tables_number 111
_symmetry_space_group_name_Hall 'P -4 2'
_cell_length_a 5.5693
_cell_length_b 5.5693
_cell_length_c 6.1141
_cell_angle_alpha 90.00
_cell_angle_beta 90.00
_cell_angle_gamma 90.00
loop_
_atom_site_label
_atom_site_type_symbol
_atom_site_fract_x
_atom_site_fract_y
_atom_site_fract_z
Ga1 Ga 0.0000 0.5000 0.0000
Hg1 Hg 0.0000 0.0000 0.5000
Se1 Se 0.2767 0.2767 0.7587
```

---

Ga2HgSe4: optimized geometry, PBE.

Raw formation energy, eV per formula unit: -1.44
Relative energy among the computed polymorphs, eV per atom: 0.304
Volume, Å³/cell: 339.6

CIF file:
```
data_Ga2HgSe4
_chemical_formula_sum 'Ga4 Hg2 Se8'
_symmetry_space_group_name_H-M 'I -4 m 2'
_symmetry_Int_Tables_number 119
_symmetry_space_group_name_Hall 'I -4 -2'
_cell_length_a 5.5795
_cell_length_b 5.5795
_cell_length_c 10.9075
_cell_angle_alpha 90.00
_cell_angle_beta 90.00
_cell_angle_gamma 90.00
loop_
_atom_site_label
_atom_site_type_symbol
_atom_site_fract_x
_atom_site_fract_y
_atom_site_fract_z
Ga1 Ga 0.0000 0.0000 0.0000
Ga2 Ga 0.0000 0.5000 0.2500
Hg1 Hg 0.0000 0.0000 0.5000
Se1 Se 0.0000 0.0000 0.2237
Se2 Se 0.0000 0.5000 0.0227
```

---

GaHgSe: optimized geometry, PBE.

Raw formation energy, eV per formula unit: -0.99
Relative energy among the computed polymorphs, eV per atom: 0.000
Volume, Å³/cell: 359.5

CIF file:
```
data_GaHgSe
_chemical_formula_sum 'Ga4 Hg4 Se4'
_symmetry_space_group_name_H-M 'A m m 2'
_symmetry_Int_Tables_number 38
_symmetry_space_group_name_Hall 'A 2 -2'
_cell_length_a 14.4169
_cell_length_b 3.7938
_cell_length_c 6.5732
_cell_angle_alpha 90.00
_cell_angle_beta 90.00
_cell_angle_gamma 90.00
loop_
_atom_site_label
_atom_site_type_symbol
_atom_site_fract_x
_atom_site_fract_y
_atom_site_fract_z
Ga1 Ga 0.1811 0.0000 0.0000
Hg1 Hg 0.0000 0.0000 0.0002
Hg2 Hg 0.5000 0.0000 0.0016
Se1 Se 0.2642 0.0000 0.6667
```

---

GaHgSe3: optimized geometry, PBE.

Raw formation energy, eV per formula unit: -1.27
Relative energy among the computed polymorphs, eV per atom: 0.000
Volume, Å³/cell: 589.6

CIF file:
```
data_GaHgSe3
_chemical_formula_sum 'Ga4 Hg4 Se12'
_symmetry_space_group_name_H-M 'P n m a'
_symmetry_Int_Tables_number 62
_symmetry_space_group_name_Hall '-P 2ac 2n'
_cell_length_a 6.1819
_cell_length_b 12.1097
_cell_length_c 7.8761
_cell_angle_alpha 90.00
_cell_angle_beta 90.00
_cell_angle_gamma 90.00
loop_
_atom_site_label
_atom_site_type_symbol
_atom_site_fract_x
_atom_site_fract_y
_atom_site_fract_z
Ga1 Ga 0.2428 0.2500 0.1162
Hg1 Hg 0.0000 0.0000 0.5000
Se1 Se 0.1326 0.0895 0.9401
Se2 Se 0.1371 0.2500 0.4086
```

---

Ga4HgSe7: optimized geometry, PBE.

Raw formation energy, eV per formula unit: -6.07
Volume, Å³/cell: 726.4

CIF file:
```
data_Ga4HgSe7
_chemical_formula_sum 'Ga8 Hg2 Se14'
_symmetry_space_group_name_H-M 'P m n 21'
_symmetry_Int_Tables_number 31
_symmetry_space_group_name_Hall 'P 2ac -2'
_cell_length_a 16.1171
_cell_length_b 6.8906
_cell_length_c 6.5411
_cell_angle_alpha 90.00
_cell_angle_beta 90.00
_cell_angle_gamma 90.00
loop_
_atom_site_label
_atom_site_type_symbol
_atom_site_fract_x
_atom_site_fract_y
_atom_site_fract_z
Ga1 Ga 0.1265 0.1743 0.0000
Ga2 Ga 0.2427 0.3289 0.4691
Hg1 Hg 0.0000 0.6592 0.8934
Se1 Se 0.0000 0.2859 0.8175
Se2 Se 0.1139 0.1956 0.3601
Se3 Se 0.1384 0.8513 0.8309
Se4 Se 0.2476 0.6713 0.3514
```

---

Ga2Hg5Se8: optimized geometry, PBE.

Raw formation energy, eV per formula unit: -5.06
Volume, Å³/cell: 863.8

CIF file:
```
data_Ga2Hg5Se8
_chemical_formula_sum 'Ga4 Hg10 Se16'
_symmetry_space_group_name_H-M 'I -4 m 2'
_symmetry_Int_Tables_number 119
_symmetry_space_group_name_Hall 'I -4 -2'
_cell_length_a 8.5668
_cell_length_b 8.5668
_cell_length_c 11.7701
_cell_angle_alpha 90.00
_cell_angle_beta 90.00
_cell_angle_gamma 90.00
loop_
_atom_site_label
_atom_site_type_symbol
_atom_site_fract_x
_atom_site_fract_y
_atom_site_fract_z
Ga1 Ga 0.0000 0.0000 0.2469
Hg1 Hg 0.0000 0.5000 0.2500
Hg2 Hg 0.2276 0.2276 0.0000
Se1 Se 0.0000 0.2340 0.3742
Se2 Se 0.0000 0.2541 0.8480
```

---

GaHgSe3: optimized geometry, PBE.

Raw formation energy, eV per formula unit: 2.50
Relative energy among the computed polymorphs, eV per atom: 0.755
Volume, Å³/cell: 149.6

CIF file:
```
data_GaHgSe3
_chemical_formula_sum 'Ga1 Hg1 Se3'
_symmetry_space_group_name_H-M 'P m -3 m'
_symmetry_Int_Tables_number 221
_symmetry_space_group_name_Hall '-P 4 2 3'
_cell_length_a 5.3085
_cell_length_b 5.3085
_cell_length_c 5.3085
_cell_angle_alpha 90.00
_cell_angle_beta 90.00
_cell_angle_gamma 90.00
loop_
_atom_site_label
_atom_site_type_symbol
_atom_site_fract_x
_atom_site_fract_y
_atom_site_fract_z
Ga1 Ga 0.0000 0.0000 0.0000
Hg1 Hg 0.5000 0.5000 0.5000
Se1 Se 0.0000 0.5000 0.5000
```

---

Ga2HgSe: optimized geometry, PBE.

Raw formation energy, eV per formula unit: -0.60
Relative energy among the computed polymorphs, eV per atom: 0.032
Volume, Å³/cell: 280.6

CIF file:
```
data_Ga2HgSe
_chemical_formula_sum 'Ga6 Hg3 Se3'
_symmetry_space_group_name_H-M 'R 3 m'
_symmetry_Int_Tables_number 160
_symmetry_space_group_name_Hall 'R 3 -2"'
_cell_length_a 3.7919
_cell_length_b 3.7919
_cell_length_c 22.5368
_cell_angle_alpha 90.00
_cell_angle_beta 90.00
_cell_angle_gamma 120.00
loop_
_atom_site_label
_atom_site_type_symbol
_atom_site_fract_x
_atom_site_fract_y
_atom_site_fract_z
Ga1 Ga 0.0000 0.0000 0.0000
Ga2 Ga 0.0000 0.0000 0.1835
Hg1 Hg 0.0000 0.0000 0.7607
Se1 Se 0.0000 0.0000 0.5899
```

---

What is the formula in the ninth record? Ga4HgSe7